Record 1
Here is a relaxed Mg2FeMo crystal from Alexandria via LeMat-Bulk. Energies are from PBE.

Cell and atoms, written as POSCAR:
```
Mg2FeMo
1.0
5.376 0.079 -0.013
-2.661 4.672 -0.013
0.378 0.662 2.554
Fe Mo Mg
1 1 2
direct
0.000 0.500 0.500
0.500 0.000 0.500
0.500 0.500 0.000
0.000 0.000 0.000
```

Computed properties:
Magnetization in Bohr magnetons per cell: 2.6
Total DFT energy (no corrections) in eV for the cell shown: -21.02
ΔE to the lowest computed polymorph in kJ/mol of formula units: 87
Space group: No. 12

***

Record 2
Here is a relaxed Mg2FeMo crystal from Alexandria via LeMat-Bulk. Energies are from PBE.

Cell and atoms, written as POSCAR:
```
Mg2FeMo
1.0
-2.770 0.552 1.033
-0.656 -2.928 -0.193
2.338 -0.971 6.790
Mo Mg Fe
1 2 1
direct
0.000 0.000 0.546
0.000 0.000 0.958
0.500 0.500 0.275
0.500 0.500 0.721
```

Computed properties:
Magnetization in Bohr magnetons per cell: 0.0
Total DFT energy (no corrections) in eV for the cell shown: -21.92
ΔE to the lowest computed polymorph in kJ/mol of formula units: 0
Space group: No. 99